1.
DFT (PBE) results for Y2NbRu after structural relaxation.

Computed properties:
Raw total energy: -7.854 eV per atom
Formation energy: 214 meV per atom
Symmetry: Fm-3m, No. 225

a b c (Å): 5.0040 5.0040 5.0040
angles (deg): 60.00 60.00 60.00
Last column: nearest neighbours and their distance in Å.
Fractional positions:
Y: 0.7500 0.7500 0.7500  4 Nb 3.06, 4 Ru 3.06
Y: 0.2500 0.2500 0.2500  4 Nb 3.06, 4 Ru 3.06
Ru: 0.5000 0.5000 0.5000  8 Y 3.06
Nb: 0.0000 0.0000 0.0000  8 Y 3.06



2.
DFT (PBE) results for Y2NbRu2 after structural relaxation.

Computed properties:
Raw total energy: -8.520 eV per atom
Formation energy: -210 meV per atom
Symmetry: P4/mbm, No. 127

a b c (Å): 6.7013 6.7013 4.7205
angles (deg): 90.00 90.00 90.00
Last column: nearest neighbours and their distance in Å.
Fractional positions:
Nb: 0.5000 0.5000 0.0000  4 Ru 2.62
Nb: 0.0000 0.0000 0.0000  4 Ru 2.62
Y: 0.8211 0.3211 0.5000  6 Ru 2.96-3.16
Y: 0.6789 0.8211 0.5000  6 Ru 2.96-3.16
Y: 0.3211 0.1789 0.5000  6 Ru 2.96-3.16
Y: 0.1789 0.6789 0.5000  6 Ru 2.96-3.16
Ru: 0.3679 0.8679 0.0000  1 Ru 2.50, 2 Nb 2.62
Ru: 0.8679 0.6321 0.0000  1 Ru 2.50, 2 Nb 2.62
Ru: 0.1321 0.3679 0.0000  1 Ru 2.50, 2 Nb 2.62
Ru: 0.6321 0.1321 0.0000  1 Ru 2.50, 2 Nb 2.62



3.
DFT (PBE) results for YNb2Ru3 after structural relaxation.

Computed properties:
Raw total energy: -9.368 eV per atom
Formation energy: -297 meV per atom
Symmetry: P4/mmm, No. 123

a b c (Å): 3.1706 3.1706 10.4109
angles (deg): 90.00 90.00 90.00
Last column: nearest neighbours and their distance in Å.
Fractional positions:
Y: 0.5000 0.5000 0.5000  8 Ru 3.06, 4 Y 3.17
Nb: 0.5000 0.5000 0.8409  8 Ru 2.68-2.79
Nb: 0.5000 0.5000 0.1591  8 Ru 2.68-2.79
Ru: 0.0000 0.0000 0.2998  4 Nb 2.68
Ru: 0.0000 0.0000 0.0000  8 Nb 2.79, 2 Ru 3.12
Ru: 0.0000 0.0000 0.7002  4 Nb 2.68



4.
DFT (PBE) results for YNb3Ru after structural relaxation.

Computed properties:
Raw total energy: -6.819 eV per atom
Formation energy: 2370 meV per atom
Symmetry: Pm-3m, No. 221

a b c (Å): 4.8201 4.8201 4.8201
angles (deg): 90.00 90.00 90.00
Last column: nearest neighbours and their distance in Å.
Fractional positions:
Ru: 0.5000 0.5000 0.5000  12 Nb 3.41
Nb: 0.0000 0.5000 0.0000  2 Y 2.41
Nb: 0.0000 0.0000 0.5000  2 Y 2.41
Nb: 0.5000 0.0000 0.0000  2 Y 2.41
Y: 0.0000 0.0000 0.0000  6 Nb 2.41



5.
DFT (PBE) results for YNb3Ru after structural relaxation.

Computed properties:
Raw total energy: -8.528 eV per atom
Formation energy: 662 meV per atom
Symmetry: Pm-3m, No. 221

a b c (Å): 4.8863 4.8863 4.8863
angles (deg): 90.00 90.00 90.00
Last column: nearest neighbours and their distance in Å.
Fractional positions:
Nb: 0.0000 0.0000 0.5000  2 Ru 2.44
Nb: 0.0000 0.5000 0.0000  2 Ru 2.44
Nb: 0.5000 0.0000 0.0000  2 Ru 2.44
Ru: 0.0000 0.0000 0.0000  6 Nb 2.44
Y: 0.5000 0.5000 0.5000  12 Nb 3.46



6.
DFT (PBE) results for YNbRu3 after structural relaxation.

Computed properties:
Raw total energy: -8.200 eV per atom
Formation energy: 672 meV per atom
Symmetry: Pm-3m, No. 221

a b c (Å): 4.7299 4.7299 4.7299
angles (deg): 90.00 90.00 90.00
Last column: nearest neighbours and their distance in Å.
Fractional positions:
Ru: 0.0000 0.5000 0.0000  2 Nb 2.36
Ru: 0.0000 0.0000 0.5000  2 Nb 2.36
Ru: 0.5000 0.0000 0.0000  2 Nb 2.36
Y: 0.5000 0.5000 0.5000  12 Ru 3.34
Nb: 0.0000 0.0000 0.0000  6 Ru 2.36



7.
DFT (PBE) results for YNb2Ru2 after structural relaxation.

Computed properties:
Raw total energy: -8.976 eV per atom
Formation energy: 55 meV per atom
Symmetry: I4/mmm, No. 139

a b c (Å): 4.4928 4.4928 5.9965
angles (deg): 68.00 68.00 90.00
Last column: nearest neighbours and their distance in Å.
Fractional positions:
Ru: 0.7500 0.2500 0.5000  4 Nb 2.55
Ru: 0.2500 0.7500 0.5000  4 Nb 2.55
Nb: 0.3682 0.3682 0.2635  4 Ru 2.55, 1 Nb 2.68
Nb: 0.6318 0.6318 0.7365  4 Ru 2.55, 1 Nb 2.68
Y: 0.0000 0.0000 0.0000  8 Ru 3.39, 10 Nb 3.45-3.75



8.
DFT (PBE) results for Y2NbRu2 after structural relaxation.

Computed properties:
Raw total energy: -7.976 eV per atom
Formation energy: 334 meV per atom
Symmetry: P4/mbm, No. 127

a b c (Å): 8.0250 8.0250 3.1399
angles (deg): 90.00 90.00 90.00
Last column: nearest neighbours and their distance in Å.
Fractional positions:
Ru: 0.8304 0.3304 0.5000  6 Y 2.69-2.93
Ru: 0.3304 0.1696 0.5000  6 Y 2.69-2.93
Ru: 0.6696 0.8304 0.5000  6 Y 2.69-2.93
Ru: 0.1696 0.6696 0.5000  6 Y 2.69-2.93
Y: 0.3625 0.8625 0.0000  6 Ru 2.69-2.93
Y: 0.1375 0.3625 0.0000  6 Ru 2.69-2.93
Y: 0.6375 0.1375 0.0000  6 Ru 2.69-2.93
Y: 0.8625 0.6375 0.0000  6 Ru 2.69-2.93
Nb: 0.5000 0.5000 0.0000  4 Y 3.11, 2 Nb 3.14, 8 Ru 3.37
Nb: 0.0000 0.0000 0.0000  4 Y 3.11, 2 Nb 3.14, 8 Ru 3.37